1.
Computed, not measured: K2TlMo at its PBEsol-relaxed geometry at the meta-GGA SCAN level of DFT.

Results
For the total magnetic moment, the calculation gives 0.03 μB/cell. The calculation puts the energy above the most stable polymorph in this dataset at 187.7 meV per atom. The space group is No. 99.

Cell lengths 3.0625, 3.0625, 11.9435 Å; angles 90.00, 90.00, 90.00 degrees
With the nearest neighbours (Å) after each atom.
Fractional positions:
K: 0.0000 0.0000 0.0000  4 K 3.06
K: 0.5000 0.5000 0.3603  4 K 3.06
Tl: 0.0000 0.0000 0.5891  4 Mo 3.04, 4 Tl 3.06
Mo: 0.5000 0.5000 0.7675  4 Tl 3.04, 4 Mo 3.06

***

2.
Computed, not measured: Na2B2S5 at its PBEsol-relaxed geometry at the meta-GGA SCAN level of DFT.

Results
For the total magnetic moment, the calculation gives 0.00 μB/cell. The formation energy (no corrections) is -0.832 eV/atom. The space group is No. 62.

Cell lengths 12.4841, 7.3749, 8.1666 Å; angles 90.00, 90.00, 90.00 degrees
With the nearest neighbours (Å) after each atom.
Fractional positions:
Na: 0.1660 0.0043 0.0066  4 S 2.81-2.98
Na: 0.1660 0.4957 0.0066  4 S 2.81-2.98
Na: 0.3340 0.5043 0.5066  4 S 2.81-2.98
Na: 0.3340 0.9957 0.5066  4 S 2.81-2.98
Na: 0.6660 0.0043 0.4934  4 S 2.81-2.98
Na: 0.6660 0.4957 0.4934  4 S 2.81-2.98
Na: 0.8340 0.5043 0.9934  4 S 2.81-2.98
Na: 0.8340 0.9957 0.9934  4 S 2.81-2.98
B: 0.0141 0.2500 0.2908  3 S 1.77-1.83
B: 0.1229 0.2500 0.5975  3 S 1.78-1.83
B: 0.3771 0.7500 0.0975  3 S 1.78-1.83
B: 0.4859 0.7500 0.7908  3 S 1.77-1.83
B: 0.5141 0.2500 0.2092  3 S 1.77-1.83
B: 0.6229 0.2500 0.9025  3 S 1.78-1.83
B: 0.8771 0.7500 0.4025  3 S 1.78-1.83
B: 0.9859 0.7500 0.7092  3 S 1.77-1.83
S: 0.0077 0.7500 0.9235  1 B 1.77
S: 0.0155 0.7500 0.3394  1 B 1.80
S: 0.0953 0.7500 0.5634  1 B 1.81
S: 0.1490 0.2500 0.3772  2 B 1.83
S: 0.2297 0.2500 0.7412  1 B 1.78
S: 0.2703 0.7500 0.2412  1 B 1.78
S: 0.3510 0.7500 0.8772  2 B 1.83
S: 0.4047 0.2500 0.0634  1 B 1.81
S: 0.4845 0.2500 0.8394  1 B 1.80
S: 0.4923 0.2500 0.4235  1 B 1.77
S: 0.5077 0.7500 0.5765  1 B 1.77
S: 0.5155 0.7500 0.1606  1 B 1.80
S: 0.5953 0.7500 0.9366  1 B 1.81
S: 0.6490 0.2500 0.1228  2 B 1.83
S: 0.7297 0.2500 0.7588  1 B 1.78
S: 0.7703 0.7500 0.2588  1 B 1.78
S: 0.8510 0.7500 0.6228  2 B 1.83
S: 0.9047 0.2500 0.4366  1 B 1.81
S: 0.9845 0.2500 0.6606  1 B 1.80
S: 0.9923 0.2500 0.0765  1 B 1.77

***

3.
Computed, not measured: LaTcBr2 at its PBEsol-relaxed geometry at the meta-GGA SCAN level of DFT.

Results
For the total magnetic moment, the calculation gives 11.54 μB/cell. The calculation puts the energy above the most stable polymorph in this dataset at 443.5 meV per atom. The formation energy (no corrections) is -0.167 eV/atom. The space group is No. 166.

Cell lengths 3.5143, 3.5143, 26.2654 Å; angles 90.00, 90.00, 120.00 degrees
With the nearest neighbours (Å) after each atom.
Fractional positions:
La: 0.0000 0.0000 0.0000  6 Br 3.09
La: 0.3333 0.6667 0.6667  6 Br 3.09
La: 0.6667 0.3333 0.3333  6 Br 3.09
Tc: 0.0000 0.0000 0.5000  6 Br 2.88
Tc: 0.3333 0.6667 0.1667  6 Br 2.88
Tc: 0.6667 0.3333 0.8333  6 Br 2.88
Br: 0.0000 0.0000 0.2445  3 Tc 2.88, 3 La 3.09
Br: 0.0000 0.0000 0.7555  3 Tc 2.88, 3 La 3.09
Br: 0.3333 0.6667 0.4222  3 Tc 2.88, 3 La 3.09
Br: 0.3333 0.6667 0.9111  3 Tc 2.88, 3 La 3.09
Br: 0.6667 0.3333 0.0889  3 Tc 2.88, 3 La 3.09
Br: 0.6667 0.3333 0.5778  3 Tc 2.88, 3 La 3.09

***

4.
Computed, not measured: LiFe2Pb at its PBEsol-relaxed geometry at the meta-GGA SCAN level of DFT.

Results
For the total magnetic moment, the calculation gives 10.80 μB/cell. Its electronic total energy is -28.4637 eV/atom. The space group is No. 119.

Cell lengths 4.3071, 4.3071, 6.0672 Å; angles 90.00, 90.00, 90.00 degrees
With the nearest neighbours (Å) after each atom.
Fractional positions:
Li: 0.0000 0.0000 0.0000  4 Fe 2.63, 4 Pb 2.63
Li: 0.5000 0.5000 0.5000  4 Pb 2.63, 4 Fe 2.63
Fe: 0.0000 0.0000 0.5000  4 Pb 2.63, 4 Fe 2.63
Fe: 0.0000 0.5000 0.2500  4 Fe 2.63, 4 Li 2.63
Fe: 0.5000 0.0000 0.7500  4 Fe 2.63, 4 Li 2.63
Fe: 0.5000 0.5000 0.0000  4 Pb 2.63, 4 Fe 2.63
Pb: 0.0000 0.5000 0.7500  4 Fe 2.63, 4 Li 2.63
Pb: 0.5000 0.0000 0.2500  4 Fe 2.63, 4 Li 2.63

***

5.
Computed, not measured: KSc2Al at its PBEsol-relaxed geometry at the meta-GGA SCAN level of DFT.

Results
For the total magnetic moment, the calculation gives 0.35 μB/cell. Its electronic total energy is -11.0451 eV/atom. The space group is No. 123.

Cell lengths 3.2015, 3.2015, 10.5819 Å; angles 90.00, 90.00, 90.00 degrees
With the nearest neighbours (Å) after each atom.
Fractional positions:
K: 0.0000 0.0000 0.0000  4 K 3.20
Sc: 0.5000 0.5000 0.3260  4 Al 2.92, 4 Sc 3.20
Sc: 0.5000 0.5000 0.6740  4 Al 2.92, 4 Sc 3.20
Al: 0.0000 0.0000 0.5000  8 Sc 2.92, 4 Al 3.20

***

6.
Computed, not measured: CuAs2Cl at its PBEsol-relaxed geometry at the meta-GGA SCAN level of DFT.

Results
For the total magnetic moment, the calculation gives 0.00 μB/cell. The formation energy (no corrections) is -0.216 eV/atom. The space group is No. 160.

Cell lengths 3.5567, 3.5567, 22.0519 Å; angles 90.00, 90.00, 120.00 degrees
With the nearest neighbours (Å) after each atom.
Fractional positions:
Cu: 0.0000 0.0000 0.0000  3 Cl 2.32
Cu: 0.3333 0.6667 0.6667  3 Cl 2.32
Cu: 0.6667 0.3333 0.3333  3 Cl 2.32
As: 0.0000 0.0000 0.2534  3 As 2.51, 3 Cu 2.71
As: 0.0000 0.0000 0.5209  3 As 2.51
As: 0.3333 0.6667 0.1875  3 As 2.51
As: 0.3333 0.6667 0.9200  3 As 2.51, 3 Cu 2.71
As: 0.6667 0.3333 0.5867  3 As 2.51, 3 Cu 2.71
As: 0.6667 0.3333 0.8542  3 As 2.51
Cl: 0.0000 0.0000 0.7152  3 Cu 2.32
Cl: 0.3333 0.6667 0.3819  3 Cu 2.32
Cl: 0.6667 0.3333 0.0486  3 Cu 2.32

***

Please write out number 4 again, unchanged.
Computed, not measured: LiFe2Pb at its PBEsol-relaxed geometry at the meta-GGA SCAN level of DFT.

Results
For the total magnetic moment, the calculation gives 10.80 μB/cell. Its electronic total energy is -28.4637 eV/atom. The space group is No. 119.

Cell lengths 4.3071, 4.3071, 6.0672 Å; angles 90.00, 90.00, 90.00 degrees
With the nearest neighbours (Å) after each atom.
Fractional positions:
Li: 0.0000 0.0000 0.0000  4 Fe 2.63, 4 Pb 2.63
Li: 0.5000 0.5000 0.5000  4 Pb 2.63, 4 Fe 2.63
Fe: 0.0000 0.0000 0.5000  4 Pb 2.63, 4 Fe 2.63
Fe: 0.0000 0.5000 0.2500  4 Fe 2.63, 4 Li 2.63
Fe: 0.5000 0.0000 0.7500  4 Fe 2.63, 4 Li 2.63
Fe: 0.5000 0.5000 0.0000  4 Pb 2.63, 4 Fe 2.63
Pb: 0.0000 0.5000 0.7500  4 Fe 2.63, 4 Li 2.63
Pb: 0.5000 0.0000 0.2500  4 Fe 2.63, 4 Li 2.63